VASP calculation (SCAN) on a crystal of BaTe2Se relaxed with PBEsol.

space-group type	Fmmm (69)
size of the total moment	0.00	μB/cell
uncorrected formation energy	-0.930	eV/atom

Cell and atoms, written as CIF:
```
data_BaTe2Se
_chemical_formula_sum 'Ba1 Te2 Se1'
_space_group_name_H-M_alt 'P 1'
_space_group_IT_number 1
_space_group_name_Hall 'P 1'
_cell_length_a 4.574
_cell_length_b 4.574
_cell_length_c 6.885
_cell_angle_alpha 109.06
_cell_angle_beta 109.06
_cell_angle_gamma 90.96
loop_
_atom_site_label
_atom_site_type_symbol
_atom_site_fract_x
_atom_site_fract_y
_atom_site_fract_z
_atom_site_occupancy
Te1 Te 0.500 0.000 0.500 1
Te2 Te 0.000 0.500 0.500 1
Ba1 Ba 0.000 0.000 0.000 1
Se1 Se 0.500 0.500 0.000 1
```